Here is a relaxed structure of RbMoSe2 from the Open Quantum Materials Database. Energies are from PBE-GGA. Values from VASP.

Structure (Quantum ESPRESSO input):
```
&SYSTEM
  ibrav = 0, nat = 16, ntyp = 3
/
ATOMIC_SPECIES
Se 78.96 Se.upf
Mo 95.94 Mo.upf
Rb 85.47 Rb.upf
CELL_PARAMETERS angstrom
0.000 6.823 12.400
2.959 0.000 12.400
2.959 6.823 0.000
ATOMIC_POSITIONS crystal
Se 0.205 0.906 0.594
Se 0.295 0.594 0.906
Se 0.045 0.344 0.656
Se 0.906 0.205 0.295
Mo 0.000 0.000 0.000
Mo 0.250 0.250 0.250
Se 0.656 0.955 0.045
Se 0.344 0.045 0.955
Se 0.594 0.295 0.205
Mo 0.750 0.750 0.750
Rb 0.928 0.928 0.572
Rb 0.572 0.572 0.928
Se 0.955 0.656 0.344
Mo 0.500 0.500 0.500
Rb 0.322 0.322 0.678
Rb 0.678 0.678 0.322
```

Magnetic moment ... 0.01 μB per cell
Space-group type ... Fddd
Uncorrected energy ... -0.1972 Ha/atom


Here is a relaxed structure of ErTaAsO from the Open Quantum Materials Database. Energies are from PBE-GGA. Values from VASP.

Structure (Quantum ESPRESSO input):
```
&SYSTEM
  ibrav = 0, nat = 8, ntyp = 4
/
ATOMIC_SPECIES
O 16.00 O.upf
Ta 180.95 Ta.upf
Er 167.26 Er.upf
As 74.92 As.upf
CELL_PARAMETERS angstrom
4.134 0.000 0.000
0.000 5.000 0.000
0.000 0.000 6.563
ATOMIC_POSITIONS crystal
O 0.500 0.612 0.929
Ta 0.000 0.378 0.438
O 0.500 0.388 0.429
Er 0.500 0.193 0.098
As 0.000 0.870 0.289
As 0.000 0.130 0.789
Ta 0.000 0.622 0.938
Er 0.500 0.807 0.598
```

Energy above the lowest structure with this stoichiometry ... 21.41 kJ per mole of atoms
Magnetic moment ... 0.00 μB per cell
Space-group type ... Pmc2_1


Here is a relaxed structure of NbFeSbIr from the Open Quantum Materials Database. Energies are from PBE-GGA. Values from VASP.

Structure (Quantum ESPRESSO input):
```
&SYSTEM
  ibrav = 0, nat = 4, ntyp = 4
/
ATOMIC_SPECIES
Ir 192.22 Ir.upf
Sb 121.76 Sb.upf
Nb 92.91 Nb.upf
Fe 55.84 Fe.upf
CELL_PARAMETERS angstrom
0.000 3.193 3.193
3.193 0.000 3.193
3.193 3.193 0.000
ATOMIC_POSITIONS crystal
Ir 0.250 0.250 0.250
Sb 0.000 0.000 0.000
Nb 0.500 0.500 0.500
Fe 0.750 0.750 0.750
```

Energy above the lowest structure with this stoichiometry ... 0.00 kJ per mole of atoms
Magnetic moment ... 2.12 μB per cell
Space-group type ... F-43m


Here is a relaxed structure of ZnFe2Pt from the Open Quantum Materials Database. Energies are from PBE-GGA. Values from VASP.

Structure (Quantum ESPRESSO input):
```
&SYSTEM
  ibrav = 0, nat = 4, ntyp = 3
/
ATOMIC_SPECIES
Pt 195.08 Pt.upf
Fe 55.84 Fe.upf
Zn 65.41 Zn.upf
CELL_PARAMETERS angstrom
-2.620 -2.143 2.516
-4.030 1.191 0.353
-3.055 -2.377 -1.672
ATOMIC_POSITIONS crystal
Pt 0.750 0.750 0.750
Fe 0.250 0.250 0.250
Zn 0.500 0.500 0.500
Fe 0.000 0.000 0.000
```

Magnetic moment ... 5.30 μB per cell
Formation energy from the elements ... -169 meV/atom
Space-group type ... F-43m


Here is a relaxed structure of PrH from the Open Quantum Materials Database. Energies are from PBE-GGA. Values from VASP.

Structure (Quantum ESPRESSO input):
```
&SYSTEM
  ibrav = 0, nat = 2, ntyp = 2
/
ATOMIC_SPECIES
Pr 140.91 Pr.upf
H 1.01 H.upf
CELL_PARAMETERS angstrom
0.000 2.580 2.580
2.580 0.000 2.580
2.580 2.580 0.000
ATOMIC_POSITIONS crystal
Pr 0.500 0.500 0.500
H 0.000 0.000 0.000
```

Magnetic moment ... 0.00 μB per cell
Space-group type ... Fm-3m
Uncorrected energy ... -0.1641 Ha/atom


Here is a relaxed structure of Zr3Al2 from the Open Quantum Materials Database. Energies are from PBE-GGA. Values from VASP.

Structure (Quantum ESPRESSO input):
```
&SYSTEM
  ibrav = 0, nat = 10, ntyp = 2
/
ATOMIC_SPECIES
Zr 91.22 Zr.upf
Al 26.98 Al.upf
CELL_PARAMETERS angstrom
-5.898 0.000 0.000
2.949 -5.108 0.000
-2.949 1.703 6.941
ATOMIC_POSITIONS crystal
Zr 0.250 0.750 0.750
Al 0.692 0.308 0.923
Zr 0.250 0.250 0.750
Al 0.192 0.808 0.423
Zr 0.250 0.250 0.250
Zr 0.750 0.250 0.250
Al 0.308 0.692 0.077
Zr 0.750 0.750 0.750
Al 0.808 0.192 0.577
Zr 0.750 0.750 0.250
```

Magnetic moment ... 0.01 μB per cell
Space-group type ... R-3m
Uncorrected energy ... -0.2462 Ha/atom


Here is a relaxed structure of CdTePdO from the Open Quantum Materials Database. Energies are from PBE-GGA. Values from VASP.

Structure (Quantum ESPRESSO input):
```
&SYSTEM
  ibrav = 0, nat = 8, ntyp = 4
/
ATOMIC_SPECIES
Te 127.60 Te.upf
Cd 112.41 Cd.upf
Pd 106.42 Pd.upf
O 16.00 O.upf
CELL_PARAMETERS angstrom
4.091 0.000 0.000
0.000 4.091 0.000
0.000 0.000 8.806
ATOMIC_POSITIONS crystal
Te 0.750 0.750 0.688
Cd 0.750 0.250 0.000
Pd 0.750 0.750 0.231
Te 0.250 0.250 0.312
O 0.250 0.250 0.526
O 0.750 0.750 0.474
Pd 0.250 0.250 0.769
Cd 0.250 0.750 0.000
```

Energy above the lowest structure with this stoichiometry ... 26.69 kJ per mole of atoms
Space-group type ... P4/nmm


Here is a relaxed structure of Ho2Se2O7 from the Open Quantum Materials Database. Energies are from PBE-GGA. Values from VASP.

Structure (Quantum ESPRESSO input):
```
&SYSTEM
  ibrav = 0, nat = 44, ntyp = 3
/
ATOMIC_SPECIES
Se 78.96 Se.upf
O 16.00 O.upf
Ho 164.93 Ho.upf
CELL_PARAMETERS angstrom
-4.927 -5.847 7.193
8.850 -5.390 1.681
1.360 3.380 3.679
ATOMIC_POSITIONS crystal
Se 0.379 0.121 0.787
O 0.500 0.500 0.000
Se 0.879 0.379 0.213
O 0.314 0.814 0.563
Se 0.121 0.379 0.713
Ho 0.378 0.378 0.250
O 0.068 0.246 0.881
Ho 0.622 0.622 0.250
O 0.814 0.314 0.937
Se 0.879 0.621 0.713
O 0.432 0.746 0.119
O 0.754 0.932 0.619
O 0.246 0.068 0.619
O 0.500 0.500 0.500
O 0.246 0.932 0.119
Ho 0.122 0.122 0.250
O 0.746 0.568 0.881
O 0.432 0.254 0.619
O 0.254 0.568 0.381
O 0.932 0.754 0.881
O 0.754 0.068 0.119
O 0.686 0.186 0.563
Ho 0.378 0.622 0.750
Ho 0.878 0.122 0.750
Ho 0.122 0.878 0.750
O 0.000 0.000 0.500
Ho 0.878 0.878 0.250
O 0.686 0.814 0.063
O 0.932 0.246 0.381
Se 0.621 0.121 0.287
O 0.814 0.686 0.437
O 0.186 0.314 0.437
O 0.254 0.432 0.881
Se 0.121 0.621 0.213
O 0.000 0.000 0.000
Ho 0.622 0.378 0.750
O 0.746 0.432 0.381
O 0.314 0.186 0.063
O 0.568 0.254 0.119
O 0.186 0.686 0.937
Se 0.621 0.879 0.787
Se 0.379 0.879 0.287
O 0.068 0.754 0.381
O 0.568 0.746 0.619
```

Magnetic moment ... 0.00 μB per cell
Space-group type ... P4_2/ncm
Uncorrected energy ... -0.2487 Ha/atom